Entry 1:
This record from Alexandria describes an optimized crystal structure of La3Ga4Pt2. The functional is PBE-GGA.

Cell lengths 4.452, 6.063, 8.837 Å; angles 69.37, 75.41, 68.46 degrees
Element x y z (fractional)
La1 0.321 0.716 0.643
La2 0.000 0.000 0.000
La3 0.679 0.284 0.357
Ga1 0.254 0.407 0.084
Ga2 0.746 0.593 0.916
Ga3 0.019 0.318 0.644
Ga4 0.981 0.682 0.356
Pt1 0.396 0.938 0.270
Pt2 0.604 0.062 0.730

Properties
- Calculated volume: 205.6 Å³ per cell
- Formation enthalpy at 0 K: -811 kJ/mol of formula units
- Space group: C2/m
- Calculated total energy: -0.387 Ry per atom
- Energy relative to the lowest polymorph listed for this composition: 0 meV/atom

Entry 2:
This record from Alexandria describes an optimized crystal structure of PuTl2Hg9. The functional is PBE-GGA.

Cell lengths 4.808, 4.574, 14.821 Å; angles 90.00, 90.00, 90.00 degrees
Element x y z (fractional)
Pu1 0.000 0.000 0.000
Tl1 0.000 0.000 0.333
Tl2 0.000 0.000 0.667
Hg1 0.500 0.500 0.000
Hg2 0.500 0.500 0.326
Hg3 0.500 0.500 0.674
Hg4 0.500 0.000 0.158
Hg5 0.500 0.000 0.500
Hg6 0.500 0.000 0.842
Hg7 0.000 0.500 0.159
Hg8 0.000 0.500 0.500
Hg9 0.000 0.500 0.841

Properties
- Calculated volume: 325.9 Å³ per cell
- Formation enthalpy at 0 K: -57 kJ/mol of formula units
- Space group: Pmmm
- Calculated total energy: -0.137 Ry per atom

Entry 3:
This record from Alexandria describes an optimized crystal structure of Cs2LaSiI6. The functional is PBE-GGA.

Cell lengths 9.020, 9.020, 8.812 Å; angles 59.22, 59.22, 90.00 degrees
Element x y z (fractional)
Cs1 0.750 0.250 0.500
Cs2 0.250 0.750 0.500
I1 0.261 0.261 0.479
I2 0.739 0.739 0.521
I3 0.249 0.249 0.000
I4 0.751 0.751 0.000
I5 0.751 0.249 0.000
I6 0.249 0.751 0.000
Si1 0.500 0.500 0.000
La1 0.000 0.000 0.000

Properties
- Calculated volume: 494.6 Å³ per cell
- Formation energy (no corrections): -10.24 eV per formula unit
- Space group: I4/mmm
- Calculated total energy: -0.232 Ry per atom

Entry 4:
This record from Alexandria describes an optimized crystal structure of Li3AcIn3. The functional is PBE-GGA.

Cell lengths 7.202, 7.202, 7.202 Å; angles 90.00, 90.00, 90.00 degrees
Element x y z (fractional)
Ac1 0.500 0.500 0.500
Ac2 0.000 0.000 0.000
Li1 0.250 0.000 0.500
Li2 0.000 0.500 0.250
Li3 0.500 0.750 0.000
Li4 0.750 0.000 0.500
Li5 0.000 0.500 0.750
Li6 0.500 0.250 0.000
In1 0.000 0.250 0.500
In2 0.000 0.750 0.500
In3 0.500 0.000 0.750
In4 0.750 0.500 0.000
In5 0.500 0.000 0.250
In6 0.250 0.500 0.000

Properties
- Calculated volume: 373.6 Å³ per cell
- Formation enthalpy at 0 K: 26 kJ/mol of formula units
- Space group: Pm-3n
- Calculated total energy: -0.187 Ry per atom
- Energy relative to the lowest polymorph listed for this composition: 342 meV/atom

Entry 5:
This record from Alexandria describes an optimized crystal structure of AcGeSbO6. The functional is PBE-GGA.

Cell lengths 5.217, 5.217, 10.875 Å; angles 90.00, 90.00, 120.00 degrees
Element x y z (fractional)
Ac1 0.000 0.000 0.000
Ac2 0.000 0.000 0.500
Ge1 0.667 0.333 0.250
Ge2 0.333 0.667 0.750
Sb1 0.333 0.667 0.250
Sb2 0.667 0.333 0.750
O1 0.626 0.615 0.148
O2 0.989 0.374 0.148
O3 0.374 0.989 0.648
O4 0.011 0.626 0.852
O5 0.385 0.374 0.352
O6 0.989 0.615 0.352
O7 0.615 0.989 0.852
O8 0.626 0.011 0.352
O9 0.011 0.385 0.648
O10 0.385 0.011 0.148
O11 0.615 0.626 0.648
O12 0.374 0.385 0.852

Properties
- Calculated volume: 256.3 Å³ per cell
- Formation energy (no corrections): -19.66 eV per formula unit
- Space group: P-31c
- Calculated total energy: -0.508 Ry per atom

Entry 6:
This record from Alexandria describes an optimized crystal structure of Sm2DyHg4. The functional is PBE-GGA.

Cell lengths 5.629, 5.629, 8.729 Å; angles 108.81, 108.81, 90.00 degrees
Element x y z (fractional)
Sm1 0.605 0.605 0.209
Sm2 0.395 0.395 0.791
Dy1 0.000 0.000 0.000
Hg1 0.805 0.805 0.610
Hg2 0.195 0.195 0.390
Hg3 0.000 0.500 0.000
Hg4 0.500 0.000 0.000

Properties
- Calculated volume: 246.1 Å³ per cell
- Formation enthalpy at 0 K: -8 kJ/mol of formula units
- Space group: I4/mmm
- Calculated total energy: -0.161 Ry per atom
- Energy relative to the lowest polymorph listed for this composition: 333 meV/atom

Entry 7:
This record from Alexandria describes an optimized crystal structure of Th2AlCo12B3. The functional is PBE-GGA.

Cell lengths 6.704, 6.704, 6.704 Å; angles 63.86, 63.86, 63.86 degrees
Element x y z (fractional)
Th1 0.602 0.602 0.602
Th2 0.398 0.398 0.398
Al1 0.000 0.000 0.000
Co1 0.269 0.269 0.877
Co2 0.857 0.857 0.423
Co3 0.423 0.857 0.857
Co4 0.877 0.269 0.269
Co5 0.857 0.423 0.857
Co6 0.269 0.877 0.269
Co7 0.731 0.731 0.123
Co8 0.143 0.143 0.577
Co9 0.577 0.143 0.143
Co10 0.123 0.731 0.731
Co11 0.143 0.577 0.143
Co12 0.731 0.123 0.731
B1 0.500 0.000 0.000
B2 0.000 0.500 0.000
B3 0.000 0.000 0.500

Properties
- Calculated volume: 231.2 Å³ per cell
- Formation enthalpy at 0 K: 127 kJ/mol of formula units
- Space group: R-3m
- Calculated total energy: -0.500 Ry per atom

Entry 8:
This record from Alexandria describes an optimized crystal structure of NaSc2Hg. The functional is PBE-GGA.

Cell lengths 12.160, 12.160, 12.160 Å; angles 15.31, 15.31, 15.31 degrees
Element x y z (fractional)
Sc1 0.917 0.917 0.917
Sc2 0.083 0.083 0.083
Na1 0.500 0.500 0.500
Hg1 0.000 0.000 0.000

Properties
- Calculated volume: 109.1 Å³ per cell
- Formation enthalpy at 0 K: 131 kJ/mol of formula units
- Space group: R-3m
- Calculated total energy: -0.237 Ry per atom

Entry 9:
This record from Alexandria describes an optimized crystal structure of HfHCl. The functional is PBE-GGA.

Cell lengths 6.949, 8.137, 7.761 Å; angles 88.28, 63.41, 64.73 degrees
Element x y z (fractional)
H1 0.629 0.955 0.259
H2 0.250 0.705 0.106
H3 0.042 0.812 0.443
H4 0.158 0.455 0.759
H5 0.939 0.205 0.606
H6 0.702 0.312 0.943
Hf1 0.908 0.789 0.279
Hf2 0.752 0.076 0.047
Hf3 0.126 0.576 0.547
Hf4 0.887 0.405 0.453
Hf5 0.255 0.905 0.953
Hf6 0.024 0.289 0.779
Cl1 0.861 0.542 0.147
Cl2 0.261 0.142 0.164
Cl3 0.434 0.642 0.664
Cl4 0.565 0.325 0.353
Cl5 0.758 0.825 0.853
Cl6 0.450 0.042 0.647

Properties
- Calculated volume: 347.7 Å³ per cell
- Space group: Cc
- Calculated total energy: -0.412 Ry per atom

Entry 10:
This record from Alexandria describes an optimized crystal structure of CaTiPb2. The functional is PBE-GGA.

Cell lengths 4.971, 4.971, 10.667 Å; angles 76.53, 76.53, 90.00 degrees
Element x y z (fractional)
Pb1 0.681 0.125 0.250
Pb2 0.069 0.625 0.250
Pb3 0.375 0.319 0.750
Pb4 0.875 0.931 0.750
Ca1 0.500 0.500 0.000
Ca2 0.250 0.750 0.500
Ti1 0.000 0.000 0.000
Ti2 0.750 0.250 0.500

Properties
- Calculated volume: 248.8 Å³ per cell
- Formation enthalpy at 0 K: 87 kJ/mol of formula units
- Space group: I-42d
- Calculated total energy: -0.301 Ry per atom

Entry 11:
This record from Alexandria describes an optimized crystal structure of ScZnOs2. The functional is PBE-GGA.

Cell lengths 7.247, 7.247, 5.738 Å; angles 50.84, 50.84, 90.00 degrees
Element x y z (fractional)
Sc1 0.500 0.500 0.000
Sc2 0.250 0.750 0.500
Zn1 0.000 0.000 0.000
Zn2 0.750 0.250 0.500
Os1 0.652 0.125 0.250
Os2 0.098 0.625 0.250
Os3 0.375 0.348 0.750
Os4 0.875 0.902 0.750

Properties
- Calculated volume: 135.6 Å³ per cell
- Formation enthalpy at 0 K: 225 kJ/mol of formula units
- Space group: I-42d
- Calculated total energy: -0.510 Ry per atom

Entry 12:
This record from Alexandria describes an optimized crystal structure of Mg3Si4. The functional is PBE-GGA.

Cell lengths 2.970, 10.074, 9.329 Å; angles 114.88, 90.09, 98.54 degrees
Element x y z (fractional)
Mg1 0.000 0.378 0.875
Mg2 0.358 0.091 0.862
Mg3 0.902 0.176 0.205
Mg4 0.061 0.500 0.441
Mg5 0.653 0.680 0.052
Mg6 0.274 0.926 0.351
Si1 0.508 0.394 0.136
Si2 0.651 0.679 0.340
Si3 0.183 0.743 0.758
Si4 0.573 0.520 0.722
Si5 0.449 0.274 0.494
Si6 0.741 0.858 0.618
Si7 0.872 0.120 0.607
Si8 0.269 0.912 0.039

Properties
- Calculated volume: 249.8 Å³ per cell
- Formation energy (no corrections): 1.03 eV per formula unit
- Space group: P1
- Calculated total energy: -0.267 Ry per atom
- Energy relative to the lowest polymorph listed for this composition: 95 meV/atom

> Among the records above, which one has the lowest calculated total energy?

ScZnOs2